1.
SrSiCSe2: single point on PBEsol structure, meta-GGA SCAN.

abc: 3.716 5.095 5.095
angles: 90.00 90.00 90.00
Fractional coordinates of all 5 atoms:
C (0.500, 0.000, 0.000)
Se (0.000, 0.000, 0.500)
Se (0.000, 0.500, 0.000)
Sr (0.500, 0.500, 0.500)
Si (0.000, 0.000, 0.000)

Properties
mass density	4.9	g cm⁻³


2.
Y2SbIr: single point on PBEsol structure, meta-GGA SCAN.

abc: 3.420 3.420 8.097
angles: 90.00 90.00 89.99
Fractional coordinates of all 4 atoms:
Y (0.000, 0.000, 0.044)
Y (0.500, 0.500, 0.687)
Sb (0.500, 0.500, 0.301)
Ir (0.000, 0.000, 0.467)

Properties
mass density	8.6	g cm⁻³


Values for formation energy (no corrections), eV/f.u., ordered as above
-0.89 -1.58
Values for calculated total energy, eV per atom, ordered as above
-16.687 -41.407